[1]
Here is an optimized crystal structure of CaH3Ir from the Alexandria database. Energies are from GGA-PBE.

Output
Volume: 12.7 Å³/atom
SG: Amm2
Electronic total energy: -4.2854 eV/atom

Cell: 2.968 5.422 5.422 Å, 133.26 90.00 90.00°
Sites, in units of the cell vectors:
H1 0.500 0.179 0.358
H2 0.500 0.642 0.821
H3 0.000 0.267 0.733
Ca1 0.500 0.108 0.892
Ir1 0.000 0.433 0.567

[2]
Here is an optimized crystal structure of LaPm6NdY2 from the Alexandria database. Energies are from GGA-PBE.

Output
Volume: 34.7 Å³/atom
SG: C2/c
Formation energy from the elements: 0.11 eV/atom
Electronic total energy: -4.9978 eV/atom

Cell: 9.592 8.987 8.987 Å, 115.66 92.99 92.99°
Sites, in units of the cell vectors:
La1 0.250 0.408 0.592
La2 0.750 0.592 0.408
Pm1 0.061 0.101 0.762
Pm2 0.439 0.238 0.899
Pm3 0.939 0.899 0.238
Pm4 0.561 0.762 0.101
Pm5 0.321 0.993 0.446
Pm6 0.179 0.554 0.007
Pm7 0.679 0.007 0.554
Pm8 0.821 0.446 0.993
Pm9 0.114 0.705 0.471
Pm10 0.386 0.529 0.295
Pm11 0.886 0.295 0.529
Pm12 0.614 0.471 0.705
Nd1 0.250 0.956 0.044
Nd2 0.750 0.044 0.956
Y1 0.444 0.801 0.706
Y2 0.056 0.294 0.199
Y3 0.556 0.199 0.294
Y4 0.944 0.706 0.801

[3]
Here is an optimized crystal structure of LiLa2HRu from the Alexandria database. Energies are from GGA-PBE.

Output
Volume: 20.3 Å³/atom
SG: P4/mmm
Polymorph energy (0 for the lowest one): 39 meV per atom
Electronic total energy: -5.0650 eV/atom

Cell: 5.205 5.205 3.747 Å, 90.00 90.00 90.00°
Sites, in units of the cell vectors:
Ru1 0.000 0.000 0.500
Li1 0.500 0.500 0.500
H1 0.000 0.000 0.000
La1 0.000 0.500 0.000
La2 0.500 0.000 0.000

[4]
Here is an optimized crystal structure of AlCdAg3 from the Alexandria database. Energies are from GGA-PBE.

Output
Volume: 17.9 Å³/atom
SG: P-1
Polymorph energy (0 for the lowest one): 0 meV per atom
Formation energy from the elements: -0.05 eV/atom
Electronic total energy: -2.6929 eV/atom

Cell: 3.174 6.812 8.597 Å, 101.18 100.51 89.77°
Sites, in units of the cell vectors:
Al1 0.020 0.689 0.297
Al2 0.810 0.536 0.879
Cd1 0.814 0.077 0.887
Cd2 0.016 0.147 0.288
Ag1 0.624 0.945 0.504
Ag2 0.207 0.280 0.671
Ag3 0.420 0.397 0.101
Ag4 0.226 0.740 0.711
Ag5 0.410 0.827 0.075
Ag6 0.605 0.484 0.465

[5]
Here is an optimized crystal structure of Ba2AsOs from the Alexandria database. Energies are from GGA-PBE.

Output
Volume: 29.9 Å³/atom
SG: P4/mmm
Formation energy from the elements: 0.37 eV/atom
Electronic total energy: -4.5640 eV/atom

Cell: 5.933 5.933 3.402 Å, 90.00 90.00 90.01°
Sites, in units of the cell vectors:
As1 0.000 0.500 0.500
Os1 0.500 0.000 0.500
Ba1 0.000 0.000 0.000
Ba2 0.500 0.500 0.000

[6]
Here is an optimized crystal structure of CuH2F8 from the Alexandria database. Energies are from GGA-PBE.

Output
Volume: 11.8 Å³/atom
SG: C2/m
Electronic total energy: -3.2605 eV/atom

Cell: 7.380 5.001 14.666 Å, 129.10 90.00 137.54°
Sites, in units of the cell vectors:
Cu1 0.000 0.000 0.000
H1 0.019 0.038 0.665
H2 0.981 0.962 0.335
F1 0.264 0.869 0.237
F2 0.604 0.869 0.237
F3 0.736 0.131 0.763
F4 0.420 0.840 0.533
F5 0.396 0.131 0.763
F6 0.454 0.907 0.093
F7 0.546 0.093 0.907
F8 0.580 0.160 0.467

[7]
Here is an optimized crystal structure of Tb2ZrPd9 from the Alexandria database. Energies are from GGA-PBE.

Output
Volume: 17.2 Å³/atom
SG: P4/mmm
Formation energy from the elements: -0.86 eV/atom
Electronic total energy: -6.2386 eV/atom

Cell: 4.092 4.092 12.325 Å, 90.00 90.00 90.00°
Sites, in units of the cell vectors:
Tb1 0.000 0.000 0.332
Tb2 0.000 0.000 0.668
Zr1 0.000 0.000 0.000
Pd1 0.500 0.500 0.000
Pd2 0.500 0.500 0.329
Pd3 0.500 0.500 0.671
Pd4 0.500 0.000 0.159
Pd5 0.500 0.000 0.500
Pd6 0.500 0.000 0.841
Pd7 0.000 0.500 0.159
Pd8 0.000 0.500 0.500
Pd9 0.000 0.500 0.841

[8]
Here is an optimized crystal structure of TmRuW from the Alexandria database. Energies are from GGA-PBE.

Output
Volume: 22.8 Å³/atom
SG: P4_12_12
Formation energy from the elements: 0.52 eV/atom
Electronic total energy: -8.3763 eV/atom

Cell: 6.773 6.773 5.968 Å, 90.00 90.00 90.00°
Sites, in units of the cell vectors:
W1 0.300 0.300 0.000
W2 0.700 0.700 0.500
W3 0.200 0.800 0.250
W4 0.800 0.200 0.750
Ru1 0.546 0.454 0.750
Ru2 0.954 0.954 0.500
Ru3 0.046 0.046 0.000
Ru4 0.454 0.546 0.250
Tm1 0.745 0.255 0.250
Tm2 0.755 0.755 0.000
Tm3 0.245 0.245 0.500
Tm4 0.255 0.745 0.750

[9]
Here is an optimized crystal structure of CaTm4Zn5 from the Alexandria database. Energies are from GGA-PBE.

Output
Volume: 22.4 Å³/atom
SG: P4/mmm
Formation energy from the elements: -0.33 eV/atom
Electronic total energy: -2.9580 eV/atom

Cell: 3.543 3.543 17.821 Å, 90.00 90.00 90.00°
Sites, in units of the cell vectors:
Ca1 0.000 0.000 0.000
Tm1 0.000 0.000 0.206
Tm2 0.000 0.000 0.402
Tm3 0.000 0.000 0.598
Tm4 0.000 0.000 0.794
Zn1 0.500 0.500 0.112
Zn2 0.500 0.500 0.303
Zn3 0.500 0.500 0.500
Zn4 0.500 0.500 0.697
Zn5 0.500 0.500 0.888

[10]
Here is an optimized crystal structure of BaCaMn2Cl8 from the Alexandria database. Energies are from GGA-PBE.

Output
Volume: 29.1 Å³/atom
SG: P-3
Electronic total energy: -4.7937 eV/atom
Formation energy without anion corrections: -1.7073 eV per atom

Cell: 6.589 6.589 9.294 Å, 90.00 90.00 120.00°
Sites, in units of the cell vectors:
Ba1 0.000 0.000 0.000
Ca1 0.000 0.000 0.500
Mn1 0.667 0.333 0.246
Mn2 0.333 0.667 0.754
Cl1 0.333 0.667 0.002
Cl2 0.308 0.311 0.304
Cl3 0.689 0.997 0.304
Cl4 0.667 0.333 0.998
Cl5 0.311 0.003 0.696
Cl6 0.692 0.689 0.696
Cl7 0.997 0.308 0.696
Cl8 0.003 0.692 0.304

[11]
Here is an optimized crystal structure of Ho8Pd2Au from the Alexandria database. Energies are from GGA-PBE.

Output
Volume: 26.5 Å³/atom
SG: C2/m
Polymorph energy (0 for the lowest one): 0 meV per atom
Formation energy from the elements: -0.48 eV/atom
Electronic total energy: -5.0483 eV/atom

Cell: 5.064 6.760 9.161 Å, 104.49 106.04 90.00°
Sites, in units of the cell vectors:
Ho1 0.408 0.539 0.816
Ho2 0.670 0.983 0.340
Ho3 0.796 0.668 0.592
Ho4 0.968 0.223 0.935
Ho5 0.204 0.332 0.408
Ho6 0.330 0.017 0.660
Ho7 0.592 0.461 0.184
Ho8 0.032 0.777 0.065
Pd1 0.815 0.268 0.631
Pd2 0.185 0.732 0.369
Au1 0.500 0.000 0.000

[12]
Here is an optimized crystal structure of TaV5Mo4 from the Alexandria database. Energies are from GGA-PBE.

Output
Volume: 16.6 Å³/atom
SG: C2/m
Polymorph energy (0 for the lowest one): 520 meV per atom
Formation energy from the elements: 0.42 eV/atom
Electronic total energy: -9.6588 eV/atom

Cell: 4.421 8.892 6.659 Å, 134.28 109.39 90.00°
Sites, in units of the cell vectors:
Ta1 0.500 0.000 0.000
V1 0.838 0.315 0.676
V2 0.824 0.836 0.648
V3 0.176 0.164 0.352
V4 0.500 0.500 0.000
V5 0.162 0.685 0.324
Mo1 0.345 0.099 0.690
Mo2 0.032 0.282 0.065
Mo3 0.655 0.901 0.310
Mo4 0.968 0.718 0.935